A:
{
  "formula": "Ni3AsH",
  "functional": "PBE-GGA",
  "state": "optimized geometry",
  "cell": [[-0.133, 0.655, -2.978], [-4.509, -1.591, 1.402], [-1.829, 6.521, 1.517]],
  "species": ["H", "Ni", "As", "Ni", "Ni", "As", "Ni", "Ni", "Ni", "H"],
  "fractional_positions": [[0.000, 0.000, 0.000], [0.958, 0.920, 0.250], [0.745, 0.487, 0.750], [0.372, 0.740, 0.951], [0.042, 0.080, 0.750], [0.255, 0.513, 0.250], [0.372, 0.740, 0.549], [0.628, 0.260, 0.049], [0.628, 0.260, 0.451], [0.000, 0.000, 0.500]],
  "volume_a3_per_fu": 50
}


B:
{
  "formula": "Ni3AsH",
  "functional": "PBE-GGA",
  "state": "optimized geometry",
  "cell": [[-3.245, -1.350, 1.025], [0.202, -2.506, -2.661], [1.683, -2.302, 2.296]],
  "species": ["As", "Ni", "Ni", "H", "Ni"],
  "fractional_positions": [[0.500, 0.500, 0.500], [0.000, 0.000, 0.500], [0.000, 0.500, 0.000], [0.000, 0.000, 0.000], [0.500, 0.000, 0.000]],
  "volume_a3_per_fu": 49
}


A has the most favorable energy; the next structure is 37 meV per atom above.


A:
{
  "formula": "NiAsH2",
  "functional": "PBE-GGA",
  "state": "optimized geometry",
  "cell": [[-3.055, -1.370, 1.517], [-2.162, 2.156, 2.048], [-3.297, 1.026, -1.261]],
  "species": ["As", "H", "Ni", "H"],
  "fractional_positions": [[0.500, 0.500, 0.500], [0.250, 0.250, 0.250], [0.000, 0.000, 0.000], [0.750, 0.750, 0.750]],
  "volume_a3_per_fu": 35
}


B:
{
  "formula": "NiAsH2",
  "functional": "PBE-GGA",
  "state": "optimized geometry",
  "cell": [[4.480, 0.000, 0.000], [0.000, 4.480, 0.000], [2.240, 2.240, 3.902]],
  "species": ["H", "As", "Ni", "H", "H", "Ni", "As", "H"],
  "fractional_positions": [[0.375, 0.505, 0.750], [0.000, 0.000, 0.000], [0.500, 0.500, 0.000], [0.495, 0.125, 0.250], [0.875, 0.745, 0.750], [0.250, 0.750, 0.500], [0.750, 0.250, 0.500], [0.255, 0.625, 0.250]],
  "volume_a3_per_fu": 39
}


B has the most favorable energy; the next structure is 326 meV per atom above.


A:
{
  "formula": "Ni4AsH",
  "functional": "PBE-GGA",
  "state": "optimized geometry",
  "cell": [[-1.480, 4.321, -0.430], [-4.155, -2.058, 2.622], [3.736, 0.754, 3.721]],
  "species": ["Ni", "Ni", "As", "Ni", "Ni", "As", "Ni", "H", "H", "Ni", "Ni", "Ni"],
  "fractional_positions": [[0.384, 0.811, 0.578], [0.116, 0.422, 0.189], [0.750, 0.633, 0.367], [0.457, 0.759, 0.039], [0.616, 0.189, 0.422], [0.250, 0.367, 0.633], [0.543, 0.241, 0.961], [0.250, 0.005, 0.995], [0.750, 0.995, 0.005], [0.884, 0.578, 0.811], [0.043, 0.961, 0.241], [0.957, 0.039, 0.759]],
  "volume_a3_per_fu": 61
}


B:
{
  "formula": "Ni4AsH",
  "functional": "PBE-GGA",
  "state": "optimized geometry",
  "cell": [[5.850, 0.061, 0.000], [-0.832, 4.388, 0.000], [-2.509, -2.225, 4.949]],
  "species": ["Ni", "Ni", "H", "Ni", "Ni", "Ni", "Ni", "As", "As", "Ni", "H", "Ni"],
  "fractional_positions": [[0.362, 0.186, 0.913], [0.752, 0.458, 0.392], [0.922, 0.172, 0.344], [0.860, 0.066, 0.608], [0.051, 0.727, 0.913], [0.638, 0.814, 0.087], [0.248, 0.542, 0.608], [0.384, 0.634, 0.269], [0.616, 0.366, 0.731], [0.140, 0.934, 0.392], [0.078, 0.828, 0.656], [0.949, 0.273, 0.087]],
  "volume_a3_per_fu": 64
}


A has the most favorable energy; the next structure is 26 meV per atom above.


A:
{
  "formula": "NiAsHSe2",
  "functional": "PBE-GGA",
  "state": "optimized geometry",
  "cell": [[4.812, 0.000, 0.000], [0.000, 4.812, 0.000], [0.000, 0.000, 4.491]],
  "species": ["As", "Se", "Se", "H", "Ni"],
  "fractional_positions": [[0.000, 0.000, 0.500], [0.500, 0.000, 0.000], [0.000, 0.500, 0.000], [0.500, 0.500, 0.500], [0.000, 0.000, 0.000]],
  "volume_a3_per_fu": 104
}


B:
{
  "formula": "NiAsHSe2",
  "functional": "PBE-GGA",
  "state": "optimized geometry",
  "cell": [[4.733, 0.000, 0.000], [0.000, 4.733, 0.000], [0.000, 0.000, 3.429]],
  "species": ["H", "Ni", "Se", "Se", "As"],
  "fractional_positions": [[0.000, 0.000, 0.000], [0.500, 0.500, 0.500], [0.000, 0.500, 0.000], [0.500, 0.000, 0.000], [0.000, 0.000, 0.500]],
  "volume_a3_per_fu": 77
}


B has the most favorable energy; the next structure is 120 meV per atom above.


A:
{
  "formula": "SrNiAsH2",
  "functional": "PBE-GGA",
  "state": "optimized geometry",
  "cell": [[4.128, 0.000, 0.000], [0.000, 4.494, 0.000], [0.000, 0.000, 4.128]],
  "species": ["Ni", "H", "As", "H", "Sr"],
  "fractional_positions": [[0.000, 0.500, 0.000], [0.000, 0.000, 0.500], [0.000, 0.000, 0.000], [0.500, 0.000, 0.000], [0.500, 0.500, 0.500]],
  "volume_a3_per_fu": 77
}


B:
{
  "formula": "SrNiAsH2",
  "functional": "PBE-GGA",
  "state": "optimized geometry",
  "cell": [[3.955, 0.000, 0.000], [0.000, 6.652, 0.000], [0.000, 0.000, 3.955]],
  "species": ["Sr", "H", "Ni", "As", "H"],
  "fractional_positions": [[0.000, 0.000, 0.000], [0.000, 0.000, 0.500], [0.500, 0.500, 0.500], [0.000, 0.500, 0.000], [0.500, 0.000, 0.000]],
  "volume_a3_per_fu": 104
}


C:
{
  "formula": "SrNiAsH2",
  "functional": "PBE-GGA",
  "state": "optimized geometry",
  "cell": [[-0.863, -2.780, -2.576], [5.665, 1.487, -0.570], [1.580, -4.400, 4.218]],
  "species": ["Sr", "H", "Sr", "H", "H", "As", "Ni", "As", "H", "Ni"],
  "fractional_positions": [[0.291, 0.582, 0.250], [0.140, 0.279, 0.958], [0.709, 0.418, 0.750], [0.140, 0.279, 0.542], [0.860, 0.721, 0.042], [0.438, 0.876, 0.750], [0.000, 0.000, 0.500], [0.562, 0.124, 0.250], [0.860, 0.721, 0.458], [0.000, 0.000, 0.000]],
  "volume_a3_per_fu": 68
}


C has the most favorable energy; the next structure is 460 meV per atom above.


A:
{
  "formula": "Np2As2H",
  "functional": "PBE-GGA",
  "state": "optimized geometry",
  "cell": [[-1.294, 5.063, 5.176], [4.549, -2.958, 4.031], [5.597, 4.508, -3.009]],
  "species": ["As", "Np", "As", "Np", "As", "Np", "Np", "As", "H", "Np", "Np", "H", "As", "As", "As", "As", "Np", "H", "H", "Np"],
  "fractional_positions": [[0.000, 0.250, 0.631], [0.750, 0.423, 0.870], [0.500, 0.750, 0.369], [0.250, 0.588, 0.619], [0.000, 0.250, 0.120], [0.750, 0.923, 0.130], [0.250, 0.088, 0.381], [0.500, 0.250, 0.120], [0.250, 0.416, 0.377], [0.750, 0.412, 0.381], [0.250, 0.077, 0.870], [0.250, 0.916, 0.623], [0.000, 0.750, 0.369], [0.000, 0.750, 0.880], [0.500, 0.250, 0.631], [0.500, 0.750, 0.880], [0.750, 0.912, 0.619], [0.750, 0.584, 0.623], [0.750, 0.084, 0.377], [0.250, 0.577, 0.130]],
  "volume_a3_per_fu": 97
}


B:
{
  "formula": "Np2As2H",
  "functional": "PBE-GGA",
  "state": "optimized geometry",
  "cell": [[5.717, 0.000, 0.000], [0.000, 5.797, 0.000], [-2.859, -2.899, 5.795]],
  "species": ["H", "H", "Np", "As", "As", "Np", "Np", "Np", "As", "As"],
  "fractional_positions": [[0.250, 0.500, 0.000], [0.750, 0.500, 0.000], [0.389, 0.606, 0.777], [0.859, 0.650, 0.717], [0.141, 0.350, 0.283], [0.889, 0.172, 0.777], [0.611, 0.394, 0.223], [0.111, 0.828, 0.223], [0.641, 0.933, 0.283], [0.359, 0.067, 0.717]],
  "volume_a3_per_fu": 96
}


B has the most favorable energy; the next structure is 16 meV per atom above.


A:
{
  "formula": "AsHOs",
  "functional": "PBE-GGA",
  "state": "optimized geometry",
  "cell": [[-3.726, -1.024, 2.318], [1.974, -0.728, 2.852], [1.414, 4.920, 0.278]],
  "species": ["Os", "As", "H", "H", "Os", "As"],
  "fractional_positions": [[0.040, 0.500, 0.041], [0.431, 0.000, 0.325], [0.934, 0.000, 0.854], [0.934, 0.500, 0.354], [0.040, 0.000, 0.541], [0.431, 0.500, 0.825]],
  "volume_a3_per_fu": 37
}


B:
{
  "formula": "AsHOs",
  "functional": "PBE-GGA",
  "state": "optimized geometry",
  "cell": [[3.021, 0.000, 0.000], [0.000, 3.021, 0.000], [-2.693, 0.000, 8.000]],
  "species": ["As", "Os", "As", "H", "Os", "H"],
  "fractional_positions": [[0.634, 0.000, 0.786], [0.280, 0.000, 0.463], [0.634, 0.500, 0.286], [0.229, 0.500, 0.567], [0.280, 0.500, 0.963], [0.229, 0.000, 0.067]],
  "volume_a3_per_fu": 37
}


C:
{
  "formula": "AsHOs",
  "functional": "PBE-GGA",
  "state": "optimized geometry",
  "cell": [[0.004, 2.939, -1.035], [-2.583, -0.579, -1.654], [-5.112, -0.615, 8.199]],
  "species": ["Os", "As", "As", "Os", "H", "H"],
  "fractional_positions": [[0.128, 0.500, 0.092], [0.749, 0.500, 0.708], [0.749, 0.000, 0.208], [0.128, 0.000, 0.592], [0.980, 0.500, 0.902], [0.980, 0.000, 0.402]],
  "volume_a3_per_fu": 44
}


B has the most favorable energy; the next structure is 25 meV per atom above.


A:
{
  "formula": "AsHOs",
  "functional": "PBE-GGA",
  "state": "optimized geometry",
  "cell": [[-0.228, -3.848, 3.815], [2.883, -0.256, -0.087], [0.420, 3.543, 3.507]],
  "species": ["As", "Os", "As", "H", "H", "Os"],
  "fractional_positions": [[0.478, 0.500, 0.433], [0.121, 0.500, 0.092], [0.478, 0.000, 0.933], [0.951, 0.500, 0.758], [0.951, 0.000, 0.258], [0.121, 0.000, 0.592]],
  "volume_a3_per_fu": 39
}


B:
{
  "formula": "AsHOs",
  "functional": "PBE-GGA",
  "state": "optimized geometry",
  "cell": [[-0.843, -2.234, 2.081], [2.472, 0.768, 1.825], [-4.215, 4.963, 3.620]],
  "species": ["As", "H", "Os", "As", "Os", "H"],
  "fractional_positions": [[0.000, 0.000, 0.188], [0.500, 0.500, 0.254], [0.000, 0.000, 0.534], [0.500, 0.500, 0.688], [0.500, 0.500, 0.034], [0.000, 0.000, 0.754]],
  "volume_a3_per_fu": 37
}


C:
{
  "formula": "AsHOs",
  "functional": "PBE-GGA",
  "state": "optimized geometry",
  "cell": [[-2.055, -1.990, 0.401], [0.891, -1.365, -2.208], [2.755, -2.332, 2.552]],
  "species": ["H", "Os", "As"],
  "fractional_positions": [[0.500, 0.000, 0.000], [0.000, 0.500, 0.000], [0.500, 0.500, 0.500]],
  "volume_a3_per_fu": 35
}


B has the most favorable energy; the next structure is 159 meV per atom above.